No. 1
Ni3Se4: single point on PBEsol structure, meta-GGA SCAN.

a = 4.9445 Å, b = 4.9445 Å, c = 5.0089 Å
α = 90.00°, β = 90.00°, γ = 120.00°
Closest atoms and distances in Å follow each position.
Space group P6/mmm (No. 191)
Inequivalent atoms, fractional coordinates:
1 Ni 0.0000 0.5000 0.0000 x3  4 Ni 2.47, 4 Se 2.75
2 Se 0.0000 0.0000 0.2401 x2  2 Se 2.41-2.60
3 Se 0.3333 0.6667 0.5000 x2  9 Se 2.85-3.14, 6 Ni 2.88

## Properties
Formation energy (no corrections), meV per atom: 673.3


No. 2
Ni3Se2: single point on PBEsol structure, meta-GGA SCAN.

a = 5.9346 Å, b = 5.9346 Å, c = 7.1170 Å
α = 90.00°, β = 90.00°, γ = 120.00°
Closest atoms and distances in Å follow each position.
Space group R32 (No. 155, hexagonal axes)
Inequivalent atoms, fractional coordinates:
1 Ni 0.0000 0.7530 0.0000 x9  4 Se 2.34-2.36, 4 Ni 2.53-2.54
2 Se 0.0000 0.0000 0.2607 x6  6 Ni 2.34-2.36

## Properties
Formation energy (no corrections), meV per atom: -264.3


No. 3
Ni3Se: single point on PBEsol structure, meta-GGA SCAN.

a = 3.0782 Å, b = 3.0982 Å, c = 4.9318 Å
α = 90.00°, β = 90.00°, γ = 90.00°
Closest atoms and distances in Å follow each position.
Space group Pmmm (No. 47)
Inequivalent atoms, fractional coordinates:
1 Ni 0.0000 0.0000 0.0000 x1  2 Se 2.47, 8 Ni 2.49
2 Ni 0.5000 0.5000 0.2442 x2  6 Ni 2.41-2.52, 4 Se 2.52
3 Se 0.0000 0.0000 0.5000 x1  10 Ni 2.47-2.52

## Properties
E above lowest polymorph, kJ/mol of formula units: 9
Formation energy (no corrections), meV per atom: 172.7


No. 4
NiSe5: single point on PBEsol structure, meta-GGA SCAN.

a = 3.5671 Å, b = 13.0279 Å, c = 5.3009 Å
α = 90.00°, β = 90.00°, γ = 90.00°
Closest atoms and distances in Å follow each position.
Space group Cmmm (No. 65)
Inequivalent atoms, fractional coordinates:
1 Ni 0.0000 0.0000 0.0000 x2  6 Se 2.37-2.65
2 Se 0.0000 0.0000 0.5000 x2  4 Se 2.62, 2 Ni 2.65
3 Se 0.0000 0.3528 0.5000 x4  4 Se 2.62-2.67
4 Se 0.0000 0.3799 0.0000 x4  2 Ni 2.37

## Properties
Formation energy (no corrections), meV per atom: -45.6


No. 5
Ni2Se: single point on PBEsol structure, meta-GGA SCAN.

a = 3.5100 Å, b = 14.1986 Å, c = 3.5676 Å
α = 90.00°, β = 90.00°, γ = 90.00°
Closest atoms and distances in Å follow each position.
Space group Cmcm (No. 63)
Inequivalent atoms, fractional coordinates:
1 Ni 0.0000 0.0614 0.2500 x4  2 Se 2.31, 8 Ni 2.48-2.50
2 Ni 0.0000 0.4382 0.2500 x4  2 Se 2.28, 8 Ni 2.48-2.50
3 Se 0.0000 0.1644 0.7500 x4  4 Ni 2.28-2.31

## Properties
Formation energy (no corrections), meV per atom: -175.6


No. 6
Ni2Se: single point on PBEsol structure, meta-GGA SCAN.

a = 3.9716 Å, b = 3.9716 Å, c = 2.8505 Å
α = 90.00°, β = 90.00°, γ = 120.00°
Closest atoms and distances in Å follow each position.
Space group P6/mmm (No. 191)
Inequivalent atoms, fractional coordinates:
1 Ni 0.3333 0.6667 0.0000 x2  3 Ni 2.29
2 Se 0.0000 0.0000 0.5000 x1  12 Ni 2.70, 2 Se 2.85

## Properties
Formation energy (no corrections), meV per atom: 487.3


No. 7
Ni3Se: single point on PBEsol structure, meta-GGA SCAN.

a = 5.6987 Å, b = 5.6987 Å, c = 5.6987 Å
α = 90.00°, β = 90.00°, γ = 90.00°
Closest atoms and distances in Å follow each position.
Space group Fm-3m (No. 225)
Inequivalent atoms, fractional coordinates:
1 Ni 0.0000 0.0000 0.0000 x4  8 Ni 2.47
2 Ni 0.2500 0.2500 0.2500 x8  4 Se 2.47, 4 Ni 2.47
3 Se 0.0000 0.0000 0.5000 x4  8 Ni 2.47

## Properties
E above lowest polymorph, kJ/mol of formula units: 17
Formation energy (no corrections), meV per atom: 194.7


No. 8
Ni3Se4: single point on PBEsol structure, meta-GGA SCAN.

a = 9.8327 Å, b = 9.8327 Å, c = 9.8327 Å
α = 90.00°, β = 90.00°, γ = 90.00°
Closest atoms and distances in Å follow each position.
Space group Fd-3m (No. 227, origin choice 2)
Inequivalent atoms, fractional coordinates:
1 Ni 0.0000 0.0000 0.0000 x16  6 Se 2.38
2 Ni 0.1250 0.1250 0.6250 x8  4 Se 2.27
3 Se 0.0085 0.0085 0.2415 x32  4 Ni 2.27-2.38

## Properties
Formation energy (no corrections), meV per atom: -341.3


No. 9
Ni4Se: single point on PBEsol structure, meta-GGA SCAN.

a = 5.5223 Å, b = 5.5223 Å, c = 3.6879 Å
α = 90.00°, β = 90.00°, γ = 90.00°
Closest atoms and distances in Å follow each position.
Space group I4/m (No. 87)
Inequivalent atoms, fractional coordinates:
1 Ni 0.1086 0.3099 0.0000 x8  3 Se 2.40-2.59, 9 Ni 2.42-2.56
2 Se 0.0000 0.0000 0.5000 x2  12 Ni 2.40-2.59

## Properties
Formation energy (no corrections), meV per atom: 131.8


No. 10
SiNiSe2: single point on PBEsol structure, meta-GGA SCAN.

a = 6.3185 Å, b = 6.3185 Å, c = 6.3185 Å
α = 90.00°, β = 90.00°, γ = 90.00°
Closest atoms and distances in Å follow each position.
Space group F-43m (No. 216)
Inequivalent atoms, fractional coordinates:
1 Si 0.0000 0.0000 0.0000 x4  4 Se 2.74, 4 Ni 2.74
2 Ni 0.2500 0.2500 0.7500 x4  4 Se 2.74, 4 Si 2.74
3 Se 0.0000 0.0000 0.5000 x4  4 Se 2.74, 4 Ni 2.74
4 Se 0.2500 0.2500 0.2500 x4  4 Se 2.74, 4 Si 2.74

## Properties
Formation energy (no corrections), meV per atom: 736.8


No. 11
SiNiSe2: single point on PBEsol structure, meta-GGA SCAN.

a = 3.0822 Å, b = 3.0822 Å, c = 6.5984 Å
α = 90.00°, β = 90.00°, γ = 90.00°
Closest atoms and distances in Å follow each position.
Space group P4/mmm (No. 123)
Inequivalent atoms, fractional coordinates:
1 Si 0.0000 0.0000 0.0000 x1  8 Se 2.83, 4 Si 3.08
2 Ni 0.0000 0.0000 0.5000 x1  8 Se 2.64
3 Se 0.5000 0.5000 0.2746 x2  4 Ni 2.64, 4 Si 2.83

## Properties
Formation energy (no corrections), meV per atom: 519.4


No. 12
SiNiSe2: single point on PBEsol structure, meta-GGA SCAN.

a = 3.5302 Å, b = 3.5302 Å, c = 21.5678 Å
α = 90.00°, β = 90.00°, γ = 120.00°
Closest atoms and distances in Å follow each position.
Space group R-3m (No. 166, hexagonal axes)
Inequivalent atoms, fractional coordinates:
1 Si 0.0000 0.0000 0.0000 x3  6 Se 2.47
2 Ni 0.0000 0.0000 0.5000 x3  2 Se 2.19
3 Se 0.0000 0.0000 0.3984 x6  1 Ni 2.19

## Properties
Formation energy (no corrections), meV per atom: 121.2


No. 13
Si4NiSe: single point on PBEsol structure, meta-GGA SCAN.

a = 7.1202 Å, b = 7.1202 Å, c = 7.1202 Å
α = 90.00°, β = 90.00°, γ = 90.00°
Closest atoms and distances in Å follow each position.
Space group F-43m (No. 216)
Inequivalent atoms, fractional coordinates:
1 Si 0.1246 0.1246 0.1246 x16  6 Si 2.51-2.52
2 Ni 0.2500 0.2500 0.7500 x4  12 Si 2.95, 4 Se 3.08
3 Se 0.0000 0.0000 0.5000 x4  12 Si 2.95, 4 Ni 3.08

## Properties
Formation energy (no corrections), meV per atom: 825.1


No. 14
SiNiSe2: single point on PBEsol structure, meta-GGA SCAN.

a = 6.8707 Å, b = 3.4941 Å, c = 6.4184 Å
α = 90.00°, β = 95.31°, γ = 90.00°
Closest atoms and distances in Å follow each position.
Space group Cm (No. 8)
Inequivalent atoms, fractional coordinates:
1 Si 0.0000 0.0000 0.0000 x2  3 Ni 2.21-2.35, 2 Se 2.38
2 Ni 0.3114 0.0000 0.1222 x2  3 Si 2.21-2.35, 4 Se 2.39-2.45
3 Se 0.1440 0.5000 0.2976 x2  3 Ni 2.43-2.45, 2 Si 2.71
4 Se 0.3891 0.0000 0.7666 x2  2 Si 2.38, 1 Ni 2.39

## Properties
Formation energy (no corrections), meV per atom: -314.8


No. 15
Si2NiSe: single point on PBEsol structure, meta-GGA SCAN.

a = 5.2431 Å, b = 7.0591 Å, c = 3.1089 Å
α = 90.00°, β = 90.00°, γ = 90.00°
Closest atoms and distances in Å follow each position.
Space group Cmmm (No. 65)
Inequivalent atoms, fractional coordinates:
1 Si 0.2500 0.2500 0.0000 x4  2 Si 2.62, 4 Se 2.69, 4 Ni 2.69
2 Ni 0.0000 0.0000 0.5000 x2  2 Se 2.62, 8 Si 2.69
3 Se 0.0000 0.5000 0.5000 x2  2 Ni 2.62, 8 Si 2.69

## Properties
Formation energy (no corrections), meV per atom: 516.2


No. 16
Ni6SnSe2: single point on PBEsol structure, meta-GGA SCAN.

a = 3.6421 Å, b = 3.6421 Å, c = 18.4183 Å
α = 90.00°, β = 90.00°, γ = 90.00°
Closest atoms and distances in Å follow each position.
Space group I4mm (No. 107)
Inequivalent atoms, fractional coordinates:
1 Ni 0.0000 0.0000 0.0000 x2  1 Se 2.25
2 Ni 0.0000 0.0000 0.2995 x2  4 Sn 2.58, 8 Ni 2.60-2.62
3 Ni 0.0000 0.5000 0.1986 x4  2 Se 2.30, 4 Ni 2.58
4 Ni 0.0000 0.5000 0.4017 x4  2 Se 2.39, 8 Ni 2.57-2.62, 2 Sn 2.60
5 Sn 0.0000 0.0000 0.8009 x2  12 Ni 2.58-2.62
6 Se 0.0000 0.0000 0.1221 x2  5 Ni 2.25-2.30
7 Se 0.0000 0.0000 0.4856 x2  8 Ni 2.39-2.59

## Properties
Formation energy (no corrections), meV per atom: -170.9


No. 17
Ni3SnSe: single point on PBEsol structure, meta-GGA SCAN.

a = 4.5814 Å, b = 4.5814 Å, c = 4.5814 Å
α = 90.00°, β = 90.00°, γ = 90.00°
Closest atoms and distances in Å follow each position.
Space group Pm-3m (No. 221)
Inequivalent atoms, fractional coordinates:
1 Ni 0.0000 0.0000 0.5000 x3  2 Sn 2.29
2 Sn 0.0000 0.0000 0.0000 x1  6 Ni 2.29
3 Se 0.5000 0.5000 0.5000 x1  12 Ni 3.24

## Properties
Formation energy (no corrections), meV per atom: 1163.3


No. 18
SrNiSe3: single point on PBEsol structure, meta-GGA SCAN.

a = 4.7655 Å, b = 4.7655 Å, c = 4.7655 Å
α = 90.00°, β = 90.00°, γ = 90.00°
Closest atoms and distances in Å follow each position.
Space group Pm-3m (No. 221)
Inequivalent atoms, fractional coordinates:
1 Sr 0.0000 0.0000 0.0000 x1  12 Se 3.37
2 Ni 0.5000 0.5000 0.5000 x1  6 Se 2.38
3 Se 0.0000 0.5000 0.5000 x3  2 Ni 2.38

## Properties
Formation energy (no corrections), meV per atom: -798.6


No. 19
Sr3NiSe: single point on PBEsol structure, meta-GGA SCAN.

a = 5.4988 Å, b = 5.4988 Å, c = 5.4988 Å
α = 90.00°, β = 90.00°, γ = 90.00°
Closest atoms and distances in Å follow each position.
Space group Pm-3m (No. 221)
Inequivalent atoms, fractional coordinates:
1 Sr 0.0000 0.0000 0.5000 x3  2 Ni 2.75
2 Ni 0.0000 0.0000 0.0000 x1  6 Sr 2.75
3 Se 0.5000 0.5000 0.5000 x1  12 Sr 3.89

## Properties
E above lowest polymorph, kJ/mol of formula units: 0
Formation energy (no corrections), meV per atom: -377.3


No. 20
Ta2Ni3Se8: single point on PBEsol structure, meta-GGA SCAN.

a = 10.4975 Å, b = 14.6872 Å, c = 3.4333 Å
α = 90.00°, β = 90.00°, γ = 90.00°
Closest atoms and distances in Å follow each position.
Space group Pbam (No. 55)
Inequivalent atoms, fractional coordinates:
1 Ta 0.1945 0.1218 0.0000 x4  6 Se 2.53-2.59
2 Ni 0.0000 0.0000 0.5000 x2  4 Se 2.31
3 Ni 0.1435 0.7260 0.5000 x4  5 Se 2.34-2.41
4 Se 0.0170 0.1570 0.5000 x4  2 Ni 2.31-2.41, 2 Ta 2.59
5 Se 0.0636 0.6334 0.0000 x4  2 Ni 2.34, 1 Ta 2.55
6 Se 0.2200 0.9925 0.5000 x4  1 Ni 2.31, 2 Ta 2.57
7 Se 0.2342 0.2915 0.0000 x4  2 Ni 2.35, 1 Ta 2.53

## Properties
Formation energy (no corrections), meV per atom: -647.0


No. 21
Ta2NiSe: single point on PBEsol structure, meta-GGA SCAN.

a = 3.0252 Å, b = 3.0252 Å, c = 24.0351 Å
α = 90.00°, β = 90.00°, γ = 120.00°
Closest atoms and distances in Å follow each position.
Space group R-3m (No. 166, hexagonal axes)
Inequivalent atoms, fractional coordinates:
1 Ta 0.0000 0.0000 0.2482 x6  3 Ni 2.63, 3 Se 2.69
2 Ni 0.0000 0.0000 0.5000 x3  6 Ta 2.63
3 Se 0.0000 0.0000 0.0000 x3  6 Ta 2.69

## Properties
Formation energy (no corrections), meV per atom: 194.0


No. 22
TaNi2Se: single point on PBEsol structure, meta-GGA SCAN.

a = 3.0515 Å, b = 4.1856 Å, c = 8.4369 Å
α = 90.00°, β = 90.00°, γ = 90.00°
Closest atoms and distances in Å follow each position.
Space group Immm (No. 71)
Inequivalent atoms, fractional coordinates:
1 Ta 0.0000 0.0000 0.0000 x2  4 Se 2.59, 8 Ni 2.72-2.87
2 Ni 0.0000 0.5000 0.2330 x4  2 Se 2.49, 4 Ni 2.61, 2 Ta 2.72
3 Se 0.0000 0.0000 0.5000 x2  4 Ni 2.49, 4 Ta 2.59

## Properties
Formation energy (no corrections), meV per atom: 72.5


No. 23
Ta2NiSe7: single point on PBEsol structure, meta-GGA SCAN.

a = 13.8948 Å, b = 3.4533 Å, c = 18.2747 Å
α = 90.00°, β = 107.87°, γ = 90.00°
Closest atoms and distances in Å follow each position.
Space group C2/m (No. 12)
Inequivalent atoms, fractional coordinates:
1 Ta 0.1472 0.0000 0.3996 x4  8 Se 2.60-2.73
2 Ta 0.2282 0.0000 0.0899 x4  6 Se 2.48-2.70
3 Ni 0.1871 0.5000 0.2082 x4  6 Se 2.38-2.64
4 Se 0.0167 0.5000 0.4207 x4  1 Se 2.60, 2 Ta 2.62
5 Se 0.0634 0.5000 0.2931 x4  2 Ta 2.60, 1 Se 2.60, 1 Ni 2.64
6 Se 0.0795 0.0000 0.1380 x4  2 Ni 2.38, 1 Ta 2.48
7 Se 0.1336 0.5000 0.9863 x4  3 Ta 2.60-2.70
8 Se 0.1561 0.0000 0.8240 x4  1 Ni 2.42, 2 Ta 2.55
9 Se 0.2030 0.0000 0.5563 x4  3 Ta 2.63-2.73
10 Se 0.2435 0.5000 0.7004 x4  2 Ni 2.39

## Properties
Formation energy (no corrections), meV per atom: -635.8


No. 24
TaNiSe2: single point on PBEsol structure, meta-GGA SCAN.

a = 3.2929 Å, b = 3.2929 Å, c = 23.8088 Å
α = 90.00°, β = 90.00°, γ = 120.00°
Closest atoms and distances in Å follow each position.
Space group R-3m (No. 166, hexagonal axes)
Inequivalent atoms, fractional coordinates:
1 Ta 0.0000 0.0000 0.0000 x3  6 Se 2.58
2 Ni 0.0000 0.0000 0.5000 x3  2 Se 2.23
3 Se 0.0000 0.0000 0.4063 x6  1 Ni 2.23

## Properties
Formation energy (no corrections), meV per atom: -218.9


No. 25
Ta2NiSe: single point on PBEsol structure, meta-GGA SCAN.

a = 2.9939 Å, b = 2.9939 Å, c = 6.7561 Å
α = 90.00°, β = 90.00°, γ = 90.00°
Closest atoms and distances in Å follow each position.
Space group P4/mmm (No. 123)
Inequivalent atoms, fractional coordinates:
1 Ta 0.0000 0.0000 0.2448 x2  4 Ni 2.69, 4 Se 2.73, 4 Ta 2.99
2 Ni 0.5000 0.5000 0.0000 x1  8 Ta 2.69, 4 Ni 2.99
3 Se 0.5000 0.5000 0.5000 x1  8 Ta 2.73, 4 Se 2.99

## Properties
Formation energy (no corrections), meV per atom: -19.6


No. 26
Ta2NiSe5: single point on PBEsol structure, meta-GGA SCAN.

a = 3.4317 Å, b = 13.0334 Å, c = 15.5142 Å
α = 90.00°, β = 90.00°, γ = 90.00°
Closest atoms and distances in Å follow each position.
Space group Cmcm (No. 63)
Inequivalent atoms, fractional coordinates:
1 Ta 0.0000 0.2224 0.1096 x8  6 Se 2.55-2.66, 2 Ni 2.78
2 Ni 0.0000 0.2974 0.7500 x4  4 Se 2.32-2.36
3 Se 0.0000 0.1451 0.5489 x8  3 Ta 2.61-2.66
4 Se 0.0000 0.3264 0.2500 x4  2 Ni 2.36, 2 Ta 2.57
5 Se 0.0000 0.4178 0.6398 x8  1 Ni 2.32, 2 Ta 2.55

## Properties
Formation energy (no corrections), meV per atom: -768.6